1.
Entry from Alexandria: a relaxed structure of CeTmCoI (PBE).

Summary:
Fermi-level density of states ... 1.32 states/eV/atom
Raw formation energy ... -0.58 eV/atom
SG ... R3m, No. 160

```
CeTmCoI
1.0
-1.942 -1.526 -3.076
1.209 -2.345 2.933
-5.953 2.957 4.823
I Ce Tm Co
1 1 1 1
Direct
0.971 0.384 0.370 I
0.083 0.940 0.038 Ce
0.515 0.155 0.685 Tm
0.309 0.552 0.876 Co
```

---

2.
Entry from Alexandria: a relaxed structure of BaMoW2 (PBE).

Summary:
Fermi-level density of states ... 1.27 states/eV/atom
Formation energy from the elements ... 0.8952 eV/atom
Relative energy among the computed polymorphs ... 48 meV/atom
SG ... Pmmm, No. 47

```
BaMoW2
1.0
-3.249 -0.145 0.646
0.697 -0.884 3.303
0.064 7.739 2.056
W Ba Mo
2 1 1
Direct
0.000 0.000 0.595 W
0.000 0.000 0.905 W
0.500 0.500 0.250 Ba
0.500 0.500 0.750 Mo
```

---

3.
Entry from Alexandria: a relaxed structure of TbY2ErSc4 (PBE).

Summary:
Fermi-level density of states ... 1.82 states/eV/atom
Formation energy from the elements ... 0.0569 eV/atom
SG ... P4/mmm, No. 123

```
TbY2ErSc4
1.0
4.879 0.000 0.000
0.000 4.798 0.927
0.000 3.015 10.138
Er Y Sc Tb
1 2 4 1
Direct
0.500 0.500 0.000 Er
0.500 0.000 0.500 Y
0.000 0.000 0.000 Y
0.500 0.249 0.751 Sc
0.500 0.751 0.249 Sc
0.000 0.251 0.249 Sc
0.000 0.749 0.751 Sc
0.000 0.500 0.500 Tb
```

---

4.
Entry from Alexandria: a relaxed structure of Ba3WCl (PBE).

Summary:
Fermi-level density of states ... 1.16 states/eV/atom
Relative energy among the computed polymorphs ... 0 meV/atom
Raw formation energy ... 0.36 eV/atom
SG ... Pm-3m, No. 221

```
Ba3WCl
1.0
-5.504 1.999 -1.415
1.303 -0.555 -5.855
-2.073 -5.656 0.074
W Cl Ba
1 1 3
Direct
0.000 0.000 0.000 W
0.500 0.500 0.500 Cl
0.000 0.500 0.000 Ba
0.500 0.000 0.000 Ba
0.000 0.000 0.500 Ba
```

---

5.
Entry from Alexandria: a relaxed structure of Mg2IrPt (PBE).

Summary:
Fermi-level density of states ... 1.27 states/eV/atom
Formation energy from the elements ... -0.3164 eV/atom
SG ... F-43m, No. 216

```
Mg2IrPt
1.0
-2.122 -3.739 1.342
0.523 -3.836 -2.303
2.346 -3.401 1.793
Ir Pt Mg
1 1 2
Direct
0.500 0.500 0.500 Ir
0.750 0.750 0.750 Pt
0.000 0.000 0.000 Mg
0.250 0.250 0.250 Mg
```

---

6.
Entry from Alexandria: a relaxed structure of Dy6ErAl2 (PBE).

Summary:
Fermi-level density of states ... 1.15 states/eV/atom
Formation energy from the elements ... 0.5290 eV/atom
Relative energy among the computed polymorphs ... 696 meV/atom
SG ... I-42m, No. 121

```
Dy6ErAl2
1.0
-4.434 1.673 -0.487
-1.704 -3.885 2.168
4.124 7.464 11.382
Dy Er Al
6 1 2
Direct
0.644 0.644 0.794 Dy
0.850 0.356 0.206 Dy
0.356 0.850 0.206 Dy
0.750 0.250 0.500 Dy
0.250 0.750 0.500 Dy
0.150 0.150 0.794 Dy
0.500 0.500 0.000 Er
0.185 0.185 0.370 Al
0.815 0.815 0.630 Al
```

---

Look up the Fermi-level density of states of the first one.
1.32 states/eV/atom

---

What is the Fermi-level density of states in the sixth record?
1.15 states/eV/atom

---

Which formula does entry 4 have?
Ba3WCl

---

Please write out number 6 again, unchanged.
Entry from Alexandria: a relaxed structure of Dy6ErAl2 (PBE).

Summary:
Fermi-level density of states ... 1.15 states/eV/atom
Formation energy from the elements ... 0.5290 eV/atom
Relative energy among the computed polymorphs ... 696 meV/atom
SG ... I-42m, No. 121

```
Dy6ErAl2
1.0
-4.434 1.673 -0.487
-1.704 -3.885 2.168
4.124 7.464 11.382
Dy Er Al
6 1 2
Direct
0.644 0.644 0.794 Dy
0.850 0.356 0.206 Dy
0.356 0.850 0.206 Dy
0.750 0.250 0.500 Dy
0.250 0.750 0.500 Dy
0.150 0.150 0.794 Dy
0.500 0.500 0.000 Er
0.185 0.185 0.370 Al
0.815 0.815 0.630 Al
```